Here is La5TlPd2 after structural relaxation from the Alexandria database. Energies are from PBE.

Lattice parameters (Å, degrees): 8.2650 8.2650 14.0061 90.00 90.00 90.00
Closest atoms and distances in Å follow each position.
Space group I4/mcm (No. 140)
Symmetry-distinct sites (fractional):
La  0.0000  0.0000  0.0000 [4 per cell]  4 Pd 3.23, 2 Tl 3.50
La  0.1588  0.3412  0.1414 [16 per cell]  3 Pd 3.12-3.15, 2 Tl 3.46
Tl  0.0000  0.0000  0.2500 [4 per cell]  10 La 3.46-3.50
Pd  0.1318  0.3682  0.5000 [8 per cell]  1 Pd 3.08, 8 La 3.12-3.23

Values from the calculation:
DOS(E_F), states/eV/f.u.: 7.01
ΔE_f, eV per atom: -0.53

***

Here is La11Tl9Pd4 after structural relaxation from the Alexandria database. Energies are from PBE.

Lattice parameters (Å, degrees): 15.3718 23.0497 3.9089 90.00 90.00 90.00
Closest atoms and distances in Å follow each position.
Space group Cmmm (No. 65)
Symmetry-distinct sites (fractional):
La  0.0000  0.0000  0.0000 [2 per cell]  8 Tl 3.40, 2 La 3.74
La  0.0000  0.1623  0.0000 [4 per cell]  8 Tl 3.43-3.64, 3 La 3.74-3.76
La  0.0000  0.3722  0.0000 [4 per cell]  4 Pd 3.11
La  0.1907  0.5000  0.0000 [4 per cell]  4 Pd 3.09
La  0.2445  0.1709  0.0000 [8 per cell]  2 Pd 2.99
Tl  0.0000  0.5000  0.5000 [2 per cell]  4 Pd 3.30, 8 La 3.52-3.53
Tl  0.1046  0.2631  0.5000 [8 per cell]  1 Tl 3.22, 1 Pd 3.23, 8 La 3.39-3.60
Tl  0.1459  0.0714  0.5000 [8 per cell]  1 Pd 3.17, 1 Tl 3.29, 4 La 3.37-3.40
Pd  0.1523  0.3994  0.5000 [8 per cell]  6 La 2.99-3.11, 3 Tl 3.17-3.30

Values from the calculation:
DOS(E_F), states/eV/f.u.: 23.33
ΔE_f, eV per atom: -0.59

***

Here is La2Tl2Pd after structural relaxation from the Alexandria database. Energies are from PBE.

Lattice parameters (Å, degrees): 7.5954 7.5954 4.9306 90.00 90.00 90.00
Closest atoms and distances in Å follow each position.
Space group P4/mbm (No. 127)
Symmetry-distinct sites (fractional):
La  0.1563  0.3437  0.0000 [4 per cell]  6 Tl 3.24-3.38, 1 La 3.36
Tl  0.1485  0.6485  0.5000 [4 per cell]  2 Pd 2.90, 1 Tl 3.19, 2 La 3.24
Pd  0.0000  0.0000  0.5000 [2 per cell]  4 Tl 2.90

Values from the calculation:
DOS(E_F), states/eV/f.u.: 2.02
Excess energy over the best structure of this formula in the dataset, meV/atom: 0.0
ΔE_f, eV per atom: -0.39

***

Here is LaTl2Pd6 after structural relaxation from the Alexandria database. Energies are from PBE.

Lattice parameters (Å, degrees): 5.6027 5.6027 7.3187 90.00 90.00 120.00
Closest atoms and distances in Å follow each position.
Space group P6/mmm (No. 191)
Symmetry-distinct sites (fractional):
La  0.0000  0.0000  0.0000 [1 per cell]  12 Pd 3.11
Tl  0.3333  0.6667  0.5000 [2 per cell]  6 Pd 2.81
Pd  0.0000  0.5000  0.1859 [6 per cell]  5 Pd 2.72-2.80, 2 Tl 2.81

Values from the calculation:
DOS(E_F), states/eV/f.u.: 3.34
ΔE_f, eV per atom: -0.36

***

Here is La2TlPd3 after structural relaxation from the Alexandria database. Energies are from PBE.

Lattice parameters (Å, degrees): 4.7108 4.7108 15.1674 90.00 90.00 120.00
Closest atoms and distances in Å follow each position.
Space group P6_3/mmc (No. 194)
Symmetry-distinct sites (fractional):
La  0.0000  0.0000  0.1168 [4 per cell]  9 Pd 3.16-3.39, 3 Tl 3.39
Tl  0.3333  0.6667  0.2500 [2 per cell]  3 Pd 2.72
Pd  0.3333  0.6667  0.0106 [4 per cell]  3 Pd 2.74
Pd  0.3333  0.6667  0.7500 [2 per cell]  3 Tl 2.72

Values from the calculation:
DOS(E_F), states/eV/f.u.: 3.18
Excess energy over the best structure of this formula in the dataset, meV/atom: 0.0
ΔE_f, eV per atom: -0.65

***

Here is LaTl2Pd2 after structural relaxation from the Alexandria database. Energies are from PBE.

Lattice parameters (Å, degrees): 7.6249 7.6249 4.0823 90.00 90.00 90.00
Closest atoms and distances in Å follow each position.
Space group P4/mbm (No. 127)
Symmetry-distinct sites (fractional):
La  0.0000  0.0000  0.0000 [2 per cell]  4 Pd 2.99
Tl  0.1613  0.3387  0.5000 [4 per cell]  6 Pd 3.03-3.04
Pd  0.1301  0.6301  0.0000 [4 per cell]  1 Pd 2.81, 2 La 2.99, 6 Tl 3.03-3.04

Values from the calculation:
DOS(E_F), states/eV/f.u.: 3.42
Excess energy over the best structure of this formula in the dataset, meV/atom: 128.7
ΔE_f, eV per atom: -0.35

***

Here is La2TlPd after structural relaxation from the Alexandria database. Energies are from PBE.

Lattice parameters (Å, degrees): 4.1451 4.1451 25.7386 90.00 90.00 120.00
Closest atoms and distances in Å follow each position.
Space group R3m (No. 160, hexagonal axes)
Symmetry-distinct sites (fractional):
La  0.0000  0.0000  0.0000 [3 per cell]  3 Pd 2.97
La  0.0000  0.0000  0.1962 [3 per cell]  3 Pd 2.97
Tl  0.0000  0.0000  0.4308 [3 per cell]  6 La 3.47-3.49
Pd  0.0000  0.0000  0.5982 [3 per cell]  6 La 2.97

Values from the calculation:
DOS(E_F), states/eV/f.u.: 4.76
ΔE_f, eV per atom: -0.47

***

Here is La2TlPd3 after structural relaxation from the Alexandria database. Energies are from PBE.

Lattice parameters (Å, degrees): 7.5184 9.9149 15.6066 90.00 90.00 90.00
Closest atoms and distances in Å follow each position.
Space group Fmmm (No. 69)
Symmetry-distinct sites (fractional):
La  0.2436  0.0000  0.0000 [8 per cell]  2 Pd 3.01, 2 Tl 3.30
La  0.2500  0.2500  0.2500 [8 per cell]  8 Pd 3.16-3.46, 4 Tl 3.34
Tl  0.0000  0.0000  0.3283 [8 per cell]  3 Pd 2.74-2.75
Pd  0.0000  0.0000  0.1528 [8 per cell]  2 Pd 2.74, 1 Tl 2.74, 2 La 3.01
Pd  0.0000  0.2435  0.4124 [16 per cell]  2 Pd 2.73-2.74, 1 Tl 2.75

Values from the calculation:
DOS(E_F), states/eV/f.u.: 4.20
Excess energy over the best structure of this formula in the dataset, meV/atom: 15.2
ΔE_f, eV per atom: -0.64

***

Here is LaTl2Pd9 after structural relaxation from the Alexandria database. Energies are from PBE.

Lattice parameters (Å, degrees): 4.1527 4.1527 12.3355 90.00 90.00 90.00
Closest atoms and distances in Å follow each position.
Space group P4/mmm (No. 123)
Symmetry-distinct sites (fractional):
La  0.0000  0.0000  0.0000 [1 per cell]  12 Pd 2.94-2.99
Tl  0.0000  0.0000  0.3399 [2 per cell]  12 Pd 2.87-2.94
Pd  0.0000  0.5000  0.1748 [4 per cell]  8 Pd 2.87-2.99, 2 Tl 2.91, 2 La 2.99
Pd  0.0000  0.5000  0.5000 [2 per cell]  4 Tl 2.87, 8 Pd 2.91-2.94
Pd  0.5000  0.5000  0.0000 [1 per cell]  4 La 2.94, 8 Pd 2.99
Pd  0.5000  0.5000  0.3349 [2 per cell]  8 Pd 2.87-2.91, 4 Tl 2.94

Values from the calculation:
DOS(E_F), states/eV/f.u.: 9.27
ΔE_f, eV per atom: -0.39

***

Here is LaTlPd after structural relaxation from the Alexandria database. Energies are from PBE.

Lattice parameters (Å, degrees): 4.8660 4.8660 3.7282 90.00 90.00 120.00
Closest atoms and distances in Å follow each position.
Space group P-6m2 (No. 187)
Symmetry-distinct sites (fractional):
La  0.0000  0.0000  0.0000 [1 per cell]  6 Tl 3.37, 6 Pd 3.37, 2 La 3.73
Tl  0.6667  0.3333  0.5000 [1 per cell]  3 Pd 2.81
Pd  0.3333  0.6667  0.5000 [1 per cell]  3 Tl 2.81

Values from the calculation:
DOS(E_F), states/eV/f.u.: 2.17
ΔE_f, eV per atom: -0.59

***

Here is La2Tl3Pd5 after structural relaxation from the Alexandria database. Energies are from PBE.

Lattice parameters (Å, degrees): 11.7841 12.8750 6.0158 90.00 90.00 90.00
Closest atoms and distances in Å follow each position.
Space group Ibam (No. 72)
Symmetry-distinct sites (fractional):
La  0.1213  0.2445  0.0000 [8 per cell]  4 Pd 3.14-3.20, 4 Tl 3.29-3.42
Tl  0.0000  0.0000  0.2500 [4 per cell]  6 Pd 2.79-2.95, 2 Tl 3.01
Tl  0.1289  0.3705  0.5000 [8 per cell]  5 Pd 2.71-2.75
Pd  0.0000  0.5000  0.2500 [4 per cell]  4 Tl 2.71, 2 Pd 3.01
Pd  0.1283  0.1588  0.5000 [8 per cell]  3 Tl 2.73-2.95, 2 Pd 2.84
Pd  0.2367  0.0000  0.2500 [8 per cell]  3 Tl 2.75-2.79, 4 Pd 2.84-3.01

Values from the calculation:
DOS(E_F), states/eV/f.u.: 5.73
ΔE_f, eV per atom: -0.44

***

Here is LaTl2Pd2 after structural relaxation from the Alexandria database. Energies are from PBE.

Lattice parameters (Å, degrees): 5.0663 5.0663 15.5101 90.00 90.00 120.00
Closest atoms and distances in Å follow each position.
Space group R-3m (No. 166, hexagonal axes)
Symmetry-distinct sites (fractional):
La  0.0000  0.0000  0.0000 [3 per cell]  6 Pd 3.18, 8 Tl 3.39-3.46
Tl  0.0000  0.0000  0.2232 [6 per cell]  4 Pd 2.95-2.96
Pd  0.0000  0.0000  0.4135 [6 per cell]  1 Pd 2.68, 4 Tl 2.95-2.96

Values from the calculation:
DOS(E_F), states/eV/f.u.: 2.43
Excess energy over the best structure of this formula in the dataset, meV/atom: 30.4
ΔE_f, eV per atom: -0.45

***

Here is La2Tl3Pd2 after structural relaxation from the Alexandria database. Energies are from PBE.

Lattice parameters (Å, degrees): 11.0350 4.2833 7.8270 90.00 96.28 90.00
Closest atoms and distances in Å follow each position.
Space group C2/m (No. 12)
Symmetry-distinct sites (fractional):
La  0.1178  0.0000  0.3454 [4 per cell]  5 Pd 3.10-3.21, 2 Tl 3.46
Tl  0.0000  0.5000  0.0000 [2 per cell]  2 Pd 3.21, 6 Tl 3.33-3.44, 4 La 3.58
Tl  0.1945  0.0000  0.8518 [4 per cell]  2 Pd 2.90
Pd  0.0962  0.5000  0.6276 [4 per cell]  1 Pd 2.75, 2 Tl 2.90

Values from the calculation:
DOS(E_F), states/eV/f.u.: 4.04
ΔE_f, eV per atom: -0.52

***

Here is LaTlPd after structural relaxation from the Alexandria database. Energies are from PBE.

Lattice parameters (Å, degrees): 3.8829 3.8829 10.1775 90.00 90.00 90.00
Closest atoms and distances in Å follow each position.
Space group I4mm (No. 107)
Symmetry-distinct sites (fractional):
La  0.0000  0.0000  0.0000 [2 per cell]  4 Pd 3.14, 5 Tl 3.16-3.36
Tl  0.0000  0.0000  0.6899 [2 per cell]  5 La 3.16-3.36, 5 Pd 3.19-3.46
Pd  0.0000  0.0000  0.3502 [2 per cell]  4 La 3.14, 5 Tl 3.19-3.46

Values from the calculation:
DOS(E_F), states/eV/f.u.: 1.31
ΔE_f, eV per atom: -0.47

***

Here is LaTl2Pd2 after structural relaxation from the Alexandria database. Energies are from PBE.

Lattice parameters (Å, degrees): 4.3811 4.3811 12.6832 90.00 90.00 90.00
Closest atoms and distances in Å follow each position.
Space group I4/mmm (No. 139)
Symmetry-distinct sites (fractional):
La  0.0000  0.0000  0.0000 [2 per cell]  8 Pd 3.36
Tl  0.0000  0.5000  0.2500 [4 per cell]  4 Pd 2.88, 4 Tl 3.10
Pd  0.0000  0.0000  0.3969 [4 per cell]  1 Pd 2.61, 4 Tl 2.88

Values from the calculation:
DOS(E_F), states/eV/f.u.: 2.85
Excess energy over the best structure of this formula in the dataset, meV/atom: 71.9
ΔE_f, eV per atom: -0.41

***

Here is La2TlPd2 after structural relaxation from the Alexandria database. Energies are from PBE.

Lattice parameters (Å, degrees): 5.7054 5.7054 8.3645 90.00 90.00 90.00
Closest atoms and distances in Å follow each position.
Space group I4/mmm (No. 139)
Symmetry-distinct sites (fractional):
La  0.0000  0.5000  0.2500 [4 per cell]  4 Pd 2.96
Tl  0.0000  0.0000  0.0000 [2 per cell]  2 Pd 2.89
Pd  0.0000  0.0000  0.3459 [4 per cell]  1 Pd 2.58

Values from the calculation:
DOS(E_F), states/eV/f.u.: 5.11
ΔE_f, eV per atom: -0.60

***

Here is LaTlPd3 after structural relaxation from the Alexandria database. Energies are from PBE.

Lattice parameters (Å, degrees): 5.5413 7.0932 5.6098 90.00 102.79 90.00
Closest atoms and distances in Å follow each position.
Space group P2_1/m (No. 11)
Symmetry-distinct sites (fractional):
La  0.2400  0.2500  0.1801 [2 per cell]  4 Pd 2.76-3.07
Tl  0.1427  0.7500  0.4132 [2 per cell]  6 Pd 2.80-3.07
Pd  0.2701  0.7500  0.9578 [2 per cell]  2 La 2.76-2.98, 4 Pd 2.76-2.80, 2 Tl 2.80-2.98
Pd  0.3673  0.0609  0.6971 [4 per cell]  3 Pd 2.68-2.80, 1 Tl 2.84

Values from the calculation:
DOS(E_F), states/eV/f.u.: 1.81
Excess energy over the best structure of this formula in the dataset, meV/atom: 0.0
ΔE_f, eV per atom: -0.56

***

Here is LaTlPd after structural relaxation from the Alexandria database. Energies are from PBE.

Lattice parameters (Å, degrees): 14.1291 3.9720 8.0922 90.00 90.00 90.00
Closest atoms and distances in Å follow each position.
Space group Pmma (No. 51)
Symmetry-distinct sites (fractional):
La  0.0474  0.0000  0.2317 [4 per cell]  5 Pd 3.15-3.37, 4 Tl 3.44-3.50
La  0.2500  0.0000  0.8521 [2 per cell]  5 Pd 3.04-3.24, 2 Tl 3.40
Tl  0.1170  0.5000  0.5738 [4 per cell]  3 Pd 2.91-2.98
Tl  0.2500  0.5000  0.1924 [2 per cell]  4 Pd 2.89-3.00
Pd  0.0948  0.5000  0.9398 [4 per cell]  1 Pd 2.85, 2 Tl 2.98-3.00, 6 La 3.04-3.16
Pd  0.2500  0.0000  0.4516 [2 per cell]  6 Tl 2.89-2.91

Values from the calculation:
DOS(E_F), states/eV/f.u.: 2.01
ΔE_f, eV per atom: -0.67

***

Here is LaTlPd after structural relaxation from the Alexandria database. Energies are from PBE.

Lattice parameters (Å, degrees): 8.0403 8.0403 4.0161 90.00 90.00 120.00
Closest atoms and distances in Å follow each position.
Space group P-62m (No. 189)
Symmetry-distinct sites (fractional):
La  0.0000  0.5919  0.0000 [3 per cell]  5 Pd 3.16-3.28, 6 Tl 3.35-3.51
Tl  0.0000  0.2588  0.5000 [3 per cell]  4 Pd 2.89-3.02
Pd  0.0000  0.0000  0.0000 [1 per cell]  6 Tl 2.89
Pd  0.3333  0.6667  0.5000 [2 per cell]  3 Tl 3.02, 6 La 3.16

Values from the calculation:
DOS(E_F), states/eV/f.u.: 2.56
ΔE_f, eV per atom: -0.69

***

Here is LaTl3Pd3 after structural relaxation from the Alexandria database. Energies are from PBE.

Lattice parameters (Å, degrees): 9.1918 4.5695 9.2007 90.00 119.93 90.00
Closest atoms and distances in Å follow each position.
Space group P2_1/m (No. 11)
Symmetry-distinct sites (fractional):
La  0.1665  0.2500  0.3331 [2 per cell]  9 Pd 3.20-3.24
Tl  0.2225  0.2500  0.7619 [2 per cell]  4 Pd 2.83-2.90
Tl  0.2624  0.7500  0.0396 [2 per cell]  4 Pd 2.84-2.91
Tl  0.4607  0.7500  0.7228 [2 per cell]  4 Pd 2.83-2.90
Pd  0.0408  0.2500  0.9360 [2 per cell]  4 Tl 2.83-2.91, 2 Pd 2.84
Pd  0.1049  0.7500  0.5404 [2 per cell]  4 Tl 2.83-2.90, 2 Pd 2.84
Pd  0.4355  0.7500  0.3954 [2 per cell]  4 Tl 2.84-2.90, 2 Pd 2.84

Values from the calculation:
DOS(E_F), states/eV/f.u.: 4.52
Excess energy over the best structure of this formula in the dataset, meV/atom: 0.0
ΔE_f, eV per atom: -0.35

***

Here is LaTl2Pd2 after structural relaxation from the Alexandria database. Energies are from PBE.

Lattice parameters (Å, degrees): 8.3291 8.3291 3.3137 90.00 90.00 90.00
Closest atoms and distances in Å follow each position.
Space group P4/mbm (No. 127)
Symmetry-distinct sites (fractional):
La  0.0000  0.0000  0.0000 [2 per cell]  4 Tl 3.29, 2 La 3.31, 8 Pd 3.49
Tl  0.1264  0.3736  0.0000 [4 per cell]  6 Pd 2.87-3.03, 1 Tl 2.98
Pd  0.1749  0.6749  0.5000 [4 per cell]  6 Tl 2.87-3.03

Values from the calculation:
DOS(E_F), states/eV/f.u.: 3.81
Excess energy over the best structure of this formula in the dataset, meV/atom: 237.5
ΔE_f, eV per atom: -0.24

***

Here is La5Tl2Pd after structural relaxation from the Alexandria database. Energies are from PBE.

Lattice parameters (Å, degrees): 7.5716 13.1773 5.1299 90.00 90.00 90.00
Closest atoms and distances in Å follow each position.
Space group Pbam (No. 55)
Symmetry-distinct sites (fractional):
La  0.0000  0.0000  0.0000 [2 per cell]  4 Tl 3.41, 4 La 3.70, 2 Pd 3.79
La  0.1248  0.2890  0.0000 [4 per cell]  1 Pd 2.94
La  0.1773  0.5804  0.5000 [4 per cell]  2 Pd 3.08, 1 Tl 3.39, 1 La 3.42
Tl  0.1034  0.8400  0.5000 [4 per cell]  9 La 3.36-3.58
Pd  0.0000  0.5000  0.0000 [2 per cell]  6 La 2.94-3.08

Values from the calculation:
DOS(E_F), states/eV/f.u.: 9.26
ΔE_f, eV per atom: -0.42